## Pu3P2H2 (PBE-GGA)

Data for crystalline Pu3P2H2 at its relaxed geometry.

a b c (Å): 14.2985 3.8350 10.8338
angles (deg): 90.00 124.63 90.00
Space group C2/m (No. 12)
Asymmetric unit:
1 Pu 0.0965 0.0000 0.1498
2 Pu 0.1037 0.5000 0.4526
3 Pu 0.1588 0.0000 0.8135
4 P 0.0978 0.5000 0.9461
5 P 0.2429 0.5000 0.3497
6 H 0.0358 0.0000 0.3163
7 H 0.0882 0.5000 0.6558

Computed properties:
crystal system = monoclinic
energy = -9.399 eV per atom


## Dy6ErTm2 (PBE-GGA)

Data for crystalline Dy6ErTm2 at its relaxed geometry.

a b c (Å): 10.5449 10.5449 4.9832
angles (deg): 90.00 90.00 90.00
Space group P4_2/mnm (No. 136)
Asymmetric unit:
1 Dy 0.0004 0.3328 0.0000
2 Dy 0.1662 0.1662 0.5000
3 Er 0.0000 0.0000 0.0000
4 Tm 0.1666 0.8334 0.5000

Computed properties:
crystal system = tetragonal
energy = -4.548 eV per atom
formation enthalpy at 0 K = 0.02 eV per atom


## Pm4Sm2Ho5 (PBE-GGA)

Data for crystalline Pm4Sm2Ho5 at its relaxed geometry.

a b c (Å): 24.1305 3.5427 8.6645
angles (deg): 90.00 94.32 90.00
Space group C2/m (No. 12)
Asymmetric unit:
1 Pm 0.0408 0.0000 0.3408
2 Pm 0.0886 0.5000 0.6960
3 Sm 0.2249 0.5000 0.8269
4 Ho 0.0000 0.5000 0.0000
5 Ho 0.1306 0.0000 0.0484
6 Ho 0.1866 0.0000 0.4728

Computed properties:
crystal system = monoclinic
energy = -4.554 eV per atom
formation enthalpy at 0 K = 0.11 eV per atom


## Ho8Co2Pb (PBE-GGA)

Data for crystalline Ho8Co2Pb at its relaxed geometry.

a b c (Å): 8.5911 13.1036 5.3255
angles (deg): 90.00 103.42 90.00
Space group C2/m (No. 12)
Asymmetric unit:
1 Ho 0.0000 0.2487 0.0000
2 Ho 0.1067 0.0000 0.7974
3 Ho 0.2017 0.3685 0.5734
4 Co 0.0000 0.1934 0.5000
5 Pb 0.0000 0.5000 0.0000

Computed properties:
crystal system = monoclinic
energy = -5.109 eV per atom
formation enthalpy at 0 K = -0.15 eV per atom


## LaNpPt4 (PBE-GGA)

Data for crystalline LaNpPt4 at its relaxed geometry.

a b c (Å): 7.7837 7.7837 7.7837
angles (deg): 90.00 90.00 90.00
Space group F-43m (No. 216)
Asymmetric unit:
1 La 0.0000 0.0000 0.0000
2 Np 0.2500 0.2500 0.7500
3 Pt 0.1245 0.1245 0.3755

Computed properties:
crystal system = cubic
energy = -7.822 eV per atom
formation enthalpy at 0 K = -0.82 eV per atom


## MnZnCu2 (PBE-GGA)

Data for crystalline MnZnCu2 at its relaxed geometry.

a b c (Å): 2.6312 2.6312 25.7398
angles (deg): 90.00 90.00 120.00
Space group R-3m (No. 166, hexagonal axes)
Asymmetric unit:
1 Mn 0.0000 0.0000 0.0000
2 Zn 0.0000 0.0000 0.5000
3 Cu 0.0000 0.0000 0.2511

Computed properties:
crystal system = trigonal
energy = -4.574 eV per atom
formation enthalpy at 0 K = 0.08 eV per atom


## Mn5Sb (PBE-GGA)

Data for crystalline Mn5Sb at its relaxed geometry.

a b c (Å): 3.0568 3.0568 8.5234
angles (deg): 90.00 90.00 90.00
Space group P4/mmm (No. 123)
Asymmetric unit:
1 Mn 0.0000 0.0000 0.0000
2 Mn 0.0000 0.0000 0.3201
3 Mn 0.5000 0.5000 0.1588
4 Sb 0.5000 0.5000 0.5000

Computed properties:
crystal system = tetragonal
energy = -8.053 eV per atom
formation energy from raw total energies = 0.276 eV per atom


## Nb2AlV2 (PBE-GGA)

Data for crystalline Nb2AlV2 at its relaxed geometry.

a b c (Å): 3.5924 3.5924 13.3812
angles (deg): 90.00 90.00 90.00
Space group I4/mmm (No. 139)
Asymmetric unit:
1 Nb 0.0000 0.0000 0.0957
2 Al 0.0000 0.0000 0.5000
3 V 0.0000 0.5000 0.2500

Computed properties:
crystal system = tetragonal
energy = -7.895 eV per atom
formation enthalpy at 0 K = 0.53 eV per atom


## ScCu2Pb (PBE-GGA)

Data for crystalline ScCu2Pb at its relaxed geometry.

a b c (Å): 4.1521 4.1521 18.7910
angles (deg): 90.00 90.00 90.00
Space group I-42d (No. 122)
Asymmetric unit:
1 Sc 0.0000 0.0000 0.0000
2 Cu 0.2446 0.2500 0.1250
3 Pb 0.0000 0.0000 0.5000

Computed properties:
crystal system = tetragonal
energy = -4.353 eV per atom
formation enthalpy at 0 K = 0.20 eV per atom


## Nd7Cd2Ru2 (PBE-GGA)

Data for crystalline Nd7Cd2Ru2 at its relaxed geometry.

a b c (Å): 3.9114 16.8101 9.8691
angles (deg): 90.00 90.00 90.00
Space group Imm2 (No. 44)
Asymmetric unit:
1 Nd 0.0000 0.0000 0.0000
2 Nd 0.0000 0.1365 0.4254
3 Nd 0.0000 0.3209 0.6237
4 Nd 0.0000 0.3479 0.2659
5 Cd 0.0000 0.0000 0.6666
6 Cd 0.0000 0.5000 0.7746
7 Ru 0.0000 0.2394 0.9352

Computed properties:
crystal system = orthorhombic
energy = -5.075 eV per atom
formation enthalpy at 0 K = -0.19 eV per atom


## UGaCoRu (PBE-GGA)

Data for crystalline UGaCoRu at its relaxed geometry.

a b c (Å): 6.3619 6.3619 6.3619
angles (deg): 90.00 90.00 90.00
Space group F-43m (No. 216)
Asymmetric unit:
1 U 0.0000 0.0000 0.0000
2 Ga 0.0000 0.0000 0.5000
3 Co 0.2500 0.2500 0.2500
4 Ru 0.2500 0.2500 0.7500

Computed properties:
crystal system = cubic
energy = -7.895 eV per atom
formation enthalpy at 0 K = -0.22 eV per atom


## Cr2Si2P (PBE-GGA)

Data for crystalline Cr2Si2P at its relaxed geometry.

a b c (Å): 6.2102 6.2102 3.3056
angles (deg): 90.00 90.00 90.00
Space group P4/mbm (No. 127)
Asymmetric unit:
1 Cr 0.1623 0.3377 0.0000
2 Si 0.1380 0.6380 0.5000
3 P 0.0000 0.0000 0.0000

Computed properties:
crystal system = tetragonal
energy = -7.157 eV per atom
formation energy from raw total energies = -0.056 eV per atom


## YTm2Al2Ga2 (PBE-GGA)

Data for crystalline YTm2Al2Ga2 at its relaxed geometry.

a b c (Å): 4.3372 4.3372 29.5650
angles (deg): 90.00 90.00 120.00
Space group R-3m (No. 166, hexagonal axes)
Asymmetric unit:
1 Y 0.0000 0.0000 0.0000
2 Tm 0.0000 0.0000 0.1278
3 Al 0.0000 0.0000 0.3948
4 Ga 0.0000 0.0000 0.2571

Computed properties:
crystal system = trigonal
energy = -4.507 eV per atom
formation enthalpy at 0 K = -0.37 eV per atom